Entry from Alexandria via LeMat-Bulk: Li2Mn3WO8 after structural relaxation (PBE+U).

Output
* E_tot: -7.05 eV/atom
* crystal system: trigonal
* SG: R-3m (166)

Unit cell a=6.092 b=6.092 c=6.216 alpha=60.66 beta=60.66 gamma=60.00
Element x y z (fractional)
Li  0.135  0.135  0.595
Li  0.865  0.865  0.405
Mn  0.000  0.500  0.000
Mn  0.500  0.500  0.000
Mn  0.500  0.000  0.000
W  0.500  0.500  0.500
O  0.273  0.273  0.181
O  0.727  0.727  0.819
O  0.274  0.723  0.728
O  0.274  0.274  0.728
O  0.723  0.274  0.728
O  0.277  0.726  0.272
O  0.726  0.726  0.272
O  0.726  0.277  0.272